CoSiSb2 | PBE | relaxed

```
data_CoSiSb2
_symmetry_space_group_name_H-M 'F -4 3 m'
_symmetry_Int_Tables_number 216
_symmetry_space_group_name_Hall 'F -4 2 3'
_cell_length_a 6.8309
_cell_length_b 6.8309
_cell_length_c 6.8309
_cell_angle_alpha 90.00
_cell_angle_beta 90.00
_cell_angle_gamma 90.00
loop_
_atom_site_label
_atom_site_type_symbol
_atom_site_fract_x
_atom_site_fract_y
_atom_site_fract_z
_atom_site_occupancy
Co1 Co 0.0000 0.0000 0.0000 1
Si1 Si 0.2500 0.2500 0.7500 1
Sb1 Sb 0.0000 0.0000 0.5000 1
Sb2 Sb 0.2500 0.2500 0.2500 1
```

## Properties
E_tot in hartree per atom: -0.165
Formation energy from raw total energies in eV per atom: 0.698


Co2SiSb | PBE | relaxed

```
data_Co2SiSb
_symmetry_space_group_name_H-M 'F -4 3 m'
_symmetry_Int_Tables_number 216
_symmetry_space_group_name_Hall 'F -4 2 3'
_cell_length_a 6.1456
_cell_length_b 6.1456
_cell_length_c 6.1456
_cell_angle_alpha 90.00
_cell_angle_beta 90.00
_cell_angle_gamma 90.00
loop_
_atom_site_label
_atom_site_type_symbol
_atom_site_fract_x
_atom_site_fract_y
_atom_site_fract_z
_atom_site_occupancy
Co1 Co 0.0000 0.0000 0.0000 1
Co2 Co 0.2500 0.2500 0.2500 1
Si1 Si 0.0000 0.0000 0.5000 1
Sb1 Sb 0.2500 0.2500 0.7500 1
```

## Properties
Energy relative to the lowest polymorph listed for this composition in meV per atom: 625.5
E_tot in hartree per atom: -0.199
Formation energy from raw total energies in eV per atom: 0.519


Co2SiSb2 | PBE | relaxed

```
data_Co2SiSb2
_symmetry_space_group_name_H-M 'I 4/m m m'
_symmetry_Int_Tables_number 139
_symmetry_space_group_name_Hall '-I 4 2'
_cell_length_a 4.6553
_cell_length_b 4.6553
_cell_length_c 8.7015
_cell_angle_alpha 90.00
_cell_angle_beta 90.00
_cell_angle_gamma 90.00
loop_
_atom_site_label
_atom_site_type_symbol
_atom_site_fract_x
_atom_site_fract_y
_atom_site_fract_z
_atom_site_occupancy
Co1 Co 0.0000 0.0000 0.1258 1
Si1 Si 0.0000 0.0000 0.5000 1
Sb1 Sb 0.0000 0.5000 0.2500 1
```

## Properties
Energy relative to the lowest polymorph listed for this composition in meV per atom: 193.1
E_tot in hartree per atom: -0.184
Formation energy from raw total energies in eV per atom: 0.571


CoSiSb | PBE | relaxed

```
data_CoSiSb
_symmetry_space_group_name_H-M 'P 3 m 1'
_symmetry_Int_Tables_number 156
_cell_length_a 3.2963
_cell_length_b 3.2963
_cell_length_c 5.4251
_cell_angle_alpha 90.00
_cell_angle_beta 90.00
_cell_angle_gamma 120.00
loop_
_symmetry_equiv_pos_as_xyz
'x,y,z'
'-y,x-y,z'
'-x+y,-x,z'
'-y,-x,z'
'-x+y,y,z'
'x,x-y,z'
loop_
_atom_site_label
_atom_site_type_symbol
_atom_site_fract_x
_atom_site_fract_y
_atom_site_fract_z
_atom_site_occupancy
Co1 Co 0.0000 0.0000 0.0000 1
Si1 Si 0.3333 0.6667 0.7685 1
Sb1 Sb 0.6667 0.3333 0.3296 1
```

## Properties
E_tot in hartree per atom: -0.200
Formation energy from raw total energies in eV per atom: 0.097


CoSiSbTe2 | PBE | relaxed

```
data_CoSiSbTe2
_symmetry_space_group_name_H-M 'P 4/m m m'
_symmetry_Int_Tables_number 123
_symmetry_space_group_name_Hall '-P 4 2'
_cell_length_a 5.2084
_cell_length_b 5.2084
_cell_length_c 5.1783
_cell_angle_alpha 90.00
_cell_angle_beta 90.00
_cell_angle_gamma 90.00
loop_
_atom_site_label
_atom_site_type_symbol
_atom_site_fract_x
_atom_site_fract_y
_atom_site_fract_z
_atom_site_occupancy
Co1 Co 0.0000 0.0000 0.0000 1
Si1 Si 0.5000 0.5000 0.5000 1
Sb1 Sb 0.5000 0.5000 0.0000 1
Te1 Te 0.0000 0.5000 0.5000 1
```

## Properties
Energy relative to the lowest polymorph listed for this composition in meV per atom: 447.3
E_tot in hartree per atom: -0.130
Formation energy from raw total energies in eV per atom: 1.056


CoSiSbTe2 | PBE | relaxed

```
data_CoSiSbTe2
_symmetry_space_group_name_H-M 'P 4/m m m'
_symmetry_Int_Tables_number 123
_symmetry_space_group_name_Hall '-P 4 2'
_cell_length_a 5.1675
_cell_length_b 5.1675
_cell_length_c 4.6972
_cell_angle_alpha 90.00
_cell_angle_beta 90.00
_cell_angle_gamma 90.00
loop_
_atom_site_label
_atom_site_type_symbol
_atom_site_fract_x
_atom_site_fract_y
_atom_site_fract_z
_atom_site_occupancy
Co1 Co 0.0000 0.0000 0.0000 1
Si1 Si 0.5000 0.5000 0.5000 1
Sb1 Sb 0.0000 0.0000 0.5000 1
Te1 Te 0.0000 0.5000 0.0000 1
```

## Properties
Energy relative to the lowest polymorph listed for this composition in meV per atom: 0.0
E_tot in hartree per atom: -0.146
Formation energy from raw total energies in eV per atom: 0.609


TlCo2SiSb | PBE | relaxed

```
data_TlCo2SiSb
_symmetry_space_group_name_H-M 'P 4/m m m'
_symmetry_Int_Tables_number 123
_symmetry_space_group_name_Hall '-P 4 2'
_cell_length_a 4.4417
_cell_length_b 4.4417
_cell_length_c 5.3208
_cell_angle_alpha 90.00
_cell_angle_beta 90.00
_cell_angle_gamma 90.00
loop_
_atom_site_label
_atom_site_type_symbol
_atom_site_fract_x
_atom_site_fract_y
_atom_site_fract_z
_atom_site_occupancy
Tl1 Tl 0.0000 0.0000 0.0000 1
Co1 Co 0.0000 0.5000 0.5000 1
Si1 Si 0.5000 0.5000 0.5000 1
Sb1 Sb 0.5000 0.5000 0.0000 1
```

## Properties
E_tot in hartree per atom: -0.166
Formation energy from raw total energies in eV per atom: 0.705


Tl2CoSiSb | PBE | relaxed

```
data_Tl2CoSiSb
_symmetry_space_group_name_H-M 'P 4/m m m'
_symmetry_Int_Tables_number 123
_symmetry_space_group_name_Hall '-P 4 2'
_cell_length_a 5.4401
_cell_length_b 5.4401
_cell_length_c 4.3631
_cell_angle_alpha 90.00
_cell_angle_beta 90.00
_cell_angle_gamma 90.00
loop_
_atom_site_label
_atom_site_type_symbol
_atom_site_fract_x
_atom_site_fract_y
_atom_site_fract_z
_atom_site_occupancy
Tl1 Tl 0.0000 0.5000 0.0000 1
Co1 Co 0.0000 0.0000 0.5000 1
Si1 Si 0.0000 0.0000 0.0000 1
Sb1 Sb 0.5000 0.5000 0.5000 1
```

## Properties
E_tot in hartree per atom: -0.135
Formation energy from raw total energies in eV per atom: 0.607


VCo2SiSb | PBE | relaxed

```
data_VCo2SiSb
_symmetry_space_group_name_H-M 'P 4/m m m'
_symmetry_Int_Tables_number 123
_symmetry_space_group_name_Hall '-P 4 2'
_cell_length_a 4.1934
_cell_length_b 4.1934
_cell_length_c 4.5096
_cell_angle_alpha 90.00
_cell_angle_beta 90.00
_cell_angle_gamma 90.00
loop_
_atom_site_label
_atom_site_type_symbol
_atom_site_fract_x
_atom_site_fract_y
_atom_site_fract_z
_atom_site_occupancy
V1 V 0.0000 0.0000 0.0000 1
Co1 Co 0.0000 0.5000 0.5000 1
Si1 Si 0.0000 0.0000 0.5000 1
Sb1 Sb 0.5000 0.5000 0.0000 1
```

## Properties
E_tot in hartree per atom: -0.226
Formation energy from raw total energies in eV per atom: 0.422


SmCoSb | PBE | relaxed

```
data_SmCoSb
_symmetry_space_group_name_H-M 'P 62 2 2'
_symmetry_Int_Tables_number 180
_symmetry_space_group_name_Hall 'P 62 2 (0 0 4)'
_cell_length_a 6.4065
_cell_length_b 6.4065
_cell_length_c 11.7032
_cell_angle_alpha 90.00
_cell_angle_beta 90.00
_cell_angle_gamma 120.00
loop_
_atom_site_label
_atom_site_type_symbol
_atom_site_fract_x
_atom_site_fract_y
_atom_site_fract_z
_atom_site_occupancy
Sm1 Sm 0.0000 0.5000 0.3908 1
Co1 Co 0.1998 0.5999 0.1667 1
Sb1 Sb 0.0000 0.0000 0.1667 1
Sb2 Sb 0.0000 0.5000 0.6667 1
```

## Properties
E_tot in hartree per atom: -0.198
Formation energy from raw total energies in eV per atom: -0.073


SmCo4Sb12 | PBE | relaxed

```
data_SmCo4Sb12
_symmetry_space_group_name_H-M 'I m -3'
_symmetry_Int_Tables_number 204
_symmetry_space_group_name_Hall '-I 2 2 3'
_cell_length_a 9.2062
_cell_length_b 9.2062
_cell_length_c 9.2062
_cell_angle_alpha 90.00
_cell_angle_beta 90.00
_cell_angle_gamma 90.00
loop_
_atom_site_label
_atom_site_type_symbol
_atom_site_fract_x
_atom_site_fract_y
_atom_site_fract_z
_atom_site_occupancy
Sm1 Sm 0.0000 0.0000 0.0000 1
Co1 Co 0.2500 0.2500 0.2500 1
Sb1 Sb 0.0000 0.1607 0.3324 1
```

## Properties
E_tot in hartree per atom: -0.187
Formation energy from raw total energies in eV per atom: -0.235


SmCoSb3 | PBE | relaxed

```
data_SmCoSb3
_symmetry_space_group_name_H-M 'P b c m'
_symmetry_Int_Tables_number 57
_cell_length_a 12.6334
_cell_length_b 6.1550
_cell_length_c 12.1131
_cell_angle_alpha 90.00
_cell_angle_beta 90.00
_cell_angle_gamma 90.00
loop_
_symmetry_equiv_pos_as_xyz
'x,y,z'
'-x,-y,-z'
'-x,-y,z+1/2'
'x,y,-z+1/2'
'x,-y+1/2,-z'
'-x,y+1/2,z'
'-x,y+1/2,-z+1/2'
'x,-y+1/2,z+1/2'
loop_
_atom_site_label
_atom_site_type_symbol
_atom_site_fract_x
_atom_site_fract_y
_atom_site_fract_z
_atom_site_occupancy
Sm1 Sm 0.1963 0.2200 0.2500 1
Sm2 Sm 0.1999 0.7500 0.0000 1
Co1 Co 0.4005 0.0386 0.6357 1
Sb1 Sb 0.0028 0.0172 0.6240 1
Sb2 Sb 0.2780 0.2500 0.0000 1
Sb3 Sb 0.2832 0.7311 0.2500 1
Sb4 Sb 0.4441 0.1132 0.2500 1
Sb5 Sb 0.4721 0.7500 0.0000 1
```

## Properties
Energy relative to the lowest polymorph listed for this composition in meV per atom: 0.0
E_tot in hartree per atom: -0.199
Formation energy from raw total energies in eV per atom: -0.566


Sm8Co2Sb | PBE | relaxed

```
data_Sm8Co2Sb
_symmetry_space_group_name_H-M 'C 1 2/m 1'
_symmetry_Int_Tables_number 12
_cell_length_a 8.6123
_cell_length_b 13.4400
_cell_length_c 5.5085
_cell_angle_alpha 90.00
_cell_angle_beta 103.46
_cell_angle_gamma 90.00
loop_
_symmetry_equiv_pos_as_xyz
'x,y,z'
'-x,-y,-z'
'-x,y,-z'
'x,-y,z'
'x+1/2,y+1/2,z'
'-x+1/2,-y+1/2,-z'
'-x+1/2,y+1/2,-z'
'x+1/2,-y+1/2,z'
loop_
_atom_site_label
_atom_site_type_symbol
_atom_site_fract_x
_atom_site_fract_y
_atom_site_fract_z
_atom_site_occupancy
Sm1 Sm 0.0000 0.2486 0.0000 1
Sm2 Sm 0.1065 0.5000 0.8010 1
Sm3 Sm 0.2029 0.1287 0.5702 1
Co1 Co 0.0000 0.2979 0.5000 1
Sb1 Sb 0.0000 0.0000 0.0000 1
```

## Properties
E_tot in hartree per atom: -0.194
Formation energy from raw total energies in eV per atom: -0.168